Entry 1:
A geometry-optimized Ac2Tl2Cd3 structure, computed with PBE.

Lattice parameters (Å, degrees): 6.4284 6.4284 7.4288 108.00 108.00 46.55
Element x y z (fractional)
1 Ac 0.1483 0.1483 0.2627
2 Ac 0.8517 0.8517 0.7373
3 Tl 0.1566 0.1566 0.7470
4 Tl 0.8434 0.8434 0.2530
5 Cd 0.4078 0.4078 0.0812
6 Cd 0.5000 0.5000 0.5000
7 Cd 0.5922 0.5922 0.9188

Computed properties:
The total magnetization comes out at 0.00 μB per formula unit. For the total energy, the calculation gives -17.83 eV for the cell shown. As for the space group: C2/m. The energy above the most stable polymorph in this dataset is 0.0 kJ/mol of atoms. Its calculated volume is 209.9 Å³ per cell. Its formation energy is -0.306 eV/atom.

Entry 2:
A geometry-optimized YTlFe structure, computed with PBE.

Lattice parameters (Å, degrees): 4.8788 4.8788 4.8788 60.00 60.00 60.00
Element x y z (fractional)
1 Y 0.0000 0.0000 0.0000
2 Tl 0.2500 0.2500 0.2500
3 Fe 0.7500 0.7500 0.7500

Computed properties:
The total magnetization comes out at 2.27 μB per formula unit. For the total energy, the calculation gives -14.96 eV for the cell shown. As for the space group: F-43m. Its calculated volume is 82.1 Å³ per cell. Its formation energy is 0.776 eV/atom.

Entry 3:
A geometry-optimized IrPb2W structure, computed with PBE.

Lattice parameters (Å, degrees): 9.3958 9.3958 9.3958 19.43 19.43 19.43
Element x y z (fractional)
1 Ir 0.0000 0.0000 0.0000
2 Pb 0.2533 0.2533 0.2533
3 Pb 0.7467 0.7467 0.7467
4 W 0.5000 0.5000 0.5000

Computed properties:
The total magnetization comes out at 0.00 μB per formula unit. For the total energy, the calculation gives -25.44 eV for the cell shown. As for the space group: R-3m. The energy above the most stable polymorph in this dataset is 64.0 kJ/mol of atoms. Its calculated volume is 80.3 Å³ per cell. Its formation energy is 0.949 eV/atom.

Entry 4:
A geometry-optimized KMg3 structure, computed with PBE.

Lattice parameters (Å, degrees): 5.0046 5.0046 5.0046 90.00 90.00 90.00
Element x y z (fractional)
1 K 0.0000 0.0000 0.0000
2 Mg 0.0000 0.5000 0.5000
3 Mg 0.5000 0.0000 0.5000
4 Mg 0.5000 0.5000 0.0000

Computed properties:
The total magnetization comes out at 0.00 μB per formula unit. For the total energy, the calculation gives -4.82 eV for the cell shown. As for the space group: Pm-3m. Its calculated volume is 125.3 Å³ per cell. Its formation energy is 0.266 eV/atom.

Entry 5:
A geometry-optimized CeDy2Ho3P6 structure, computed with PBE.

Lattice parameters (Å, degrees): 6.9385 6.9385 6.9397 99.60 99.60 119.99
Element x y z (fractional)
1 Ce 0.0000 0.0000 0.0000
2 Dy 0.3334 0.6666 0.0000
3 Dy 0.6666 0.3334 0.0000
4 Ho 0.1667 0.8333 0.5000
5 Ho 0.5000 0.5000 0.5000
6 Ho 0.8333 0.1667 0.5000
7 P 0.0839 0.4170 0.2519
8 P 0.2494 0.2494 0.7493
9 P 0.4170 0.0839 0.2519
10 P 0.5830 0.9161 0.7481
11 P 0.7506 0.7506 0.2507
12 P 0.9161 0.5830 0.7481

Computed properties:
The total magnetization comes out at 0.27 μB per formula unit. For the total energy, the calculation gives -80.55 eV for the cell shown. As for the space group: C2/m. Its calculated volume is 272.8 Å³ per cell. Its formation energy is -1.602 eV/atom.

Entry 6:
A geometry-optimized AcTb2Nd4 structure, computed with PBE.

Lattice parameters (Å, degrees): 9.2101 9.2101 9.2101 135.06 99.94 96.87
Element x y z (fractional)
1 Ac 0.0000 0.0000 0.0000
2 Ac 0.5000 0.0000 0.5000
3 Tb 0.0000 0.0000 0.5000
4 Tb 0.0000 0.5000 0.0000
5 Tb 0.4731 0.2231 0.2500
6 Tb 0.5269 0.7769 0.7500
7 Nd 0.1394 0.6462 0.4933
8 Nd 0.2603 0.2939 0.5336
9 Nd 0.2603 0.7267 0.9664
10 Nd 0.3471 0.3538 0.9933
11 Nd 0.6529 0.6462 0.0067
12 Nd 0.7397 0.2733 0.0336
13 Nd 0.7397 0.7061 0.4664
14 Nd 0.8606 0.3538 0.5067

Computed properties:
The total magnetization comes out at 0.00 μB per formula unit. For the total energy, the calculation gives -61.89 eV for the cell shown. As for the space group: Imma. The energy above the most stable polymorph in this dataset is 0.0 kJ/mol of atoms. Its calculated volume is 509.7 Å³ per cell. Its formation energy is 0.214 eV/atom.

Entry 7:
A geometry-optimized Hf2NpRh structure, computed with PBE.

Lattice parameters (Å, degrees): 3.2096 3.2096 7.7696 90.00 90.00 90.00
Element x y z (fractional)
1 Hf 0.0000 0.0000 0.2151
2 Hf 0.0000 0.0000 0.7849
3 Np 0.5000 0.5000 0.5000
4 Rh 0.5000 0.5000 0.0000

Computed properties:
The total magnetization comes out at 3.90 μB per formula unit. For the total energy, the calculation gives -41.14 eV for the cell shown. As for the space group: P4/mmm. The energy above the most stable polymorph in this dataset is 0.0 kJ/mol of atoms. Its calculated volume is 80.0 Å³ per cell. Its formation energy is -0.236 eV/atom.

Entry 8:
A geometry-optimized Ba2InAg3Au4 structure, computed with PBE.

Lattice parameters (Å, degrees): 4.8474 4.8474 11.1268 90.00 90.00 90.00
Element x y z (fractional)
1 Ba 0.0000 0.5000 0.2337
2 Ba 0.5000 0.0000 0.7663
3 In 0.0000 0.0000 0.5000
4 Ag 0.0000 0.5000 0.8747
5 Ag 0.5000 0.0000 0.1253
6 Ag 0.5000 0.5000 0.5000
7 Au 0.0000 0.0000 0.0000
8 Au 0.0000 0.5000 0.6300
9 Au 0.5000 0.0000 0.3700
10 Au 0.5000 0.5000 0.0000

Computed properties:
The total magnetization comes out at 0.00 μB per formula unit. For the total energy, the calculation gives -32.17 eV for the cell shown. As for the space group: P-4m2. Its calculated volume is 261.4 Å³ per cell. Its formation energy is -0.392 eV/atom.

Entry 9:
A geometry-optimized PtCIO2 structure, computed with PBE.

Lattice parameters (Å, degrees): 3.7261 3.7261 8.6062 90.00 90.00 90.00
Element x y z (fractional)
1 Pt 0.0000 0.0000 0.0000
2 C 0.5000 0.5000 0.5000
3 I 0.0000 0.0000 0.5000
4 O 0.0000 0.5000 0.0000
5 O 0.5000 0.0000 0.0000

Computed properties:
The total magnetization comes out at 1.64 μB per formula unit. For the total energy, the calculation gives -21.54 eV for the cell shown. As for the space group: P4/mmm. The energy above the most stable polymorph in this dataset is 0.0 kJ/mol of atoms. Its calculated volume is 119.5 Å³ per cell.

Entry 10:
A geometry-optimized Ho5As4C structure, computed with PBE.

Lattice parameters (Å, degrees): 6.9222 6.9222 6.9222 99.88 99.88 131.06
Element x y z (fractional)
1 Ho 0.0000 0.0000 0.0000
2 Ho 0.2641 0.6289 0.8209
3 Ho 0.4432 0.2641 0.6353
4 Ho 0.6289 0.8080 0.3647
5 Ho 0.8080 0.4432 0.1791
6 As 0.1299 0.3423 0.3958
7 As 0.3423 0.9465 0.2124
8 As 0.7341 0.1299 0.7876
9 As 0.9465 0.7341 0.6042
10 C 0.5702 0.5702 0.0000

Computed properties:
The total magnetization comes out at 0.00 μB per formula unit. For the total energy, the calculation gives -62.25 eV for the cell shown. As for the space group: I4. Its calculated volume is 227.6 Å³ per cell. Its formation energy is -1.154 eV/atom.

Entry 11:
A geometry-optimized LiTbMgRh structure, computed with PBE.

Lattice parameters (Å, degrees): 4.7669 4.7669 4.7669 60.00 60.00 60.00
Element x y z (fractional)
1 Li 0.0000 0.0000 0.0000
2 Tb 0.7500 0.7500 0.7500
3 Mg 0.2500 0.2500 0.2500
4 Rh 0.5000 0.5000 0.5000

Computed properties:
The total magnetization comes out at 0.00 μB per formula unit. For the total energy, the calculation gives -17.17 eV for the cell shown. As for the space group: F-43m. Its calculated volume is 76.6 Å³ per cell. Its formation energy is -0.421 eV/atom.

Entry 12:
A geometry-optimized Tm4Cu3Pt structure, computed with PBE.

Lattice parameters (Å, degrees): 3.7108 4.4168 10.2231 90.00 90.00 90.00
Element x y z (fractional)
1 Tm 0.0000 0.0000 0.0000
2 Tm 0.0000 0.5000 0.2778
3 Tm 0.5000 0.0000 0.4977
4 Tm 0.5000 0.5000 0.7786
5 Cu 0.0000 0.0000 0.7111
6 Cu 0.0000 0.5000 0.5664
7 Cu 0.5000 0.5000 0.0582
8 Pt 0.5000 0.0000 0.2183

Computed properties:
The total magnetization comes out at 0.00 μB per formula unit. For the total energy, the calculation gives -40.78 eV for the cell shown. As for the space group: Pmm2. Its calculated volume is 167.6 Å³ per cell. Its formation energy is -0.571 eV/atom.

Entry 13:
A geometry-optimized TlPdSeO4 structure, computed with PBE.

Lattice parameters (Å, degrees): 6.2802 6.2802 6.8404 90.00 90.00 109.21
Element x y z (fractional)
1 Tl 0.0000 0.0000 0.0000
2 Tl 0.0000 0.0000 0.5000
3 Pd 0.3074 0.6926 0.7500
4 Pd 0.6926 0.3074 0.2500
5 Se 0.3749 0.6251 0.2500
6 Se 0.6251 0.3749 0.7500
7 O 0.2709 0.7291 0.0551
8 O 0.2709 0.7291 0.4449
9 O 0.2873 0.3415 0.2500
10 O 0.3415 0.2873 0.7500
11 O 0.6585 0.7127 0.2500
12 O 0.7127 0.6585 0.7500
13 O 0.7291 0.2709 0.5551
14 O 0.7291 0.2709 0.9449

Computed properties:
The total magnetization comes out at 1.02 μB per formula unit. For the total energy, the calculation gives -67.89 eV for the cell shown. As for the space group: Cmcm. Its calculated volume is 254.8 Å³ per cell.

Entry 14:
A geometry-optimized NaOs3Pt structure, computed with PBE.

Lattice parameters (Å, degrees): 4.8148 4.8148 4.8148 90.00 90.00 90.00
Element x y z (fractional)
1 Na 0.0000 0.0000 0.0000
2 Os 0.0000 0.5000 0.5000
3 Os 0.5000 0.0000 0.5000
4 Os 0.5000 0.5000 0.0000
5 Pt 0.5000 0.5000 0.5000

Computed properties:
The total magnetization comes out at 0.00 μB per formula unit. For the total energy, the calculation gives -29.21 eV for the cell shown. As for the space group: Pm-3m. The energy above the most stable polymorph in this dataset is 0.0 kJ/mol of atoms. Its calculated volume is 111.6 Å³ per cell. Its formation energy is 2.369 eV/atom.

Entry 15:
A geometry-optimized Nd2DyEr8 structure, computed with PBE.

Lattice parameters (Å, degrees): 9.1637 9.1637 5.8634 105.56 105.56 121.08
Element x y z (fractional)
1 Nd 0.1934 0.8066 0.0000
2 Nd 0.8066 0.1934 0.0000
3 Dy 0.5000 0.5000 0.5000
4 Er 0.0707 0.0707 0.2965
5 Er 0.1704 0.4021 0.8269
6 Er 0.2926 0.7074 0.5000
7 Er 0.4021 0.1704 0.8269
8 Er 0.5979 0.8296 0.1731
9 Er 0.7074 0.2926 0.5000
10 Er 0.8296 0.5979 0.1731
11 Er 0.9293 0.9293 0.7035

Computed properties:
The total magnetization comes out at 0.00 μB per formula unit. For the total energy, the calculation gives -48.88 eV for the cell shown. As for the space group: C2/m. The energy above the most stable polymorph in this dataset is 0.0 kJ/mol of atoms. Its calculated volume is 353.4 Å³ per cell. Its formation energy is 0.160 eV/atom.

Entry 16:
A geometry-optimized In2ReBiO8 structure, computed with PBE.

Lattice parameters (Å, degrees): 4.9442 4.9442 6.7228 90.00 90.00 90.71
Element x y z (fractional)
1 In 0.0000 0.0000 0.2463
2 In 0.0000 0.0000 0.7537
3 Re 0.5000 0.5000 0.0000
4 Bi 0.5000 0.5000 0.5000
5 O 0.1844 0.1844 0.5000
6 O 0.2198 0.2198 0.0000
7 O 0.3149 0.6851 0.2068
8 O 0.3149 0.6851 0.7932
9 O 0.6851 0.3149 0.2068
10 O 0.6851 0.3149 0.7932
11 O 0.7802 0.7802 0.0000
12 O 0.8156 0.8156 0.5000

Computed properties:
The total magnetization comes out at 0.00 μB per formula unit. For the total energy, the calculation gives -78.57 eV for the cell shown. As for the space group: Cmmm. Its calculated volume is 164.3 Å³ per cell.

Entry 17:
A geometry-optimized FeAu2Se structure, computed with PBE.

Lattice parameters (Å, degrees): 4.6426 4.6426 4.6426 60.00 60.00 60.00
Element x y z (fractional)
1 Fe 0.0000 0.0000 0.0000
2 Au 0.2500 0.2500 0.2500
3 Au 0.5000 0.5000 0.5000
4 Se 0.7500 0.7500 0.7500

Computed properties:
The total magnetization comes out at 3.48 μB per formula unit. For the total energy, the calculation gives -17.13 eV for the cell shown. As for the space group: F-43m. Its calculated volume is 70.8 Å³ per cell.

Entry 18:
A geometry-optimized Pr2TmThSb4 structure, computed with PBE.

Lattice parameters (Å, degrees): 7.7579 4.4982 7.7997 90.00 109.47 90.00
Element x y z (fractional)
1 Pr 0.0000 0.0000 0.0000
2 Pr 0.5000 0.5000 0.0000
3 Tm 0.0000 0.5000 0.5000
4 Th 0.5000 0.0000 0.5000
5 Sb 0.2415 0.0000 0.7389
6 Sb 0.2469 0.5000 0.2569
7 Sb 0.7531 0.5000 0.7431
8 Sb 0.7585 0.0000 0.2611

Computed properties:
The total magnetization comes out at 0.00 μB per formula unit. For the total energy, the calculation gives -46.75 eV for the cell shown. As for the space group: P2/m. Its calculated volume is 256.6 Å³ per cell.

Entry 19:
A geometry-optimized LiMn2W structure, computed with PBE.

Lattice parameters (Å, degrees): 2.6098 3.8961 5.0892 90.00 90.00 90.00
Element x y z (fractional)
1 Li 0.0000 0.0000 0.0000
2 Mn 0.0000 0.0000 0.4780
3 Mn 0.5000 0.5000 0.2381
4 W 0.5000 0.5000 0.7365

Computed properties:
The total magnetization comes out at 0.29 μB per formula unit. For the total energy, the calculation gives -31.58 eV for the cell shown. As for the space group: Pmm2. Its calculated volume is 51.7 Å³ per cell. Its formation energy is 0.406 eV/atom.

Entry 20:
A geometry-optimized SrSiOs2C structure, computed with PBE.

Lattice parameters (Å, degrees): 4.1050 4.1050 4.9079 90.00 90.00 90.00
Element x y z (fractional)
1 Sr 0.0000 0.0000 0.0000
2 Si 0.5000 0.5000 0.0000
3 Os 0.0000 0.5000 0.5000
4 Os 0.5000 0.0000 0.5000
5 C 0.5000 0.5000 0.5000

Computed properties:
The total magnetization comes out at 0.00 μB per formula unit. For the total energy, the calculation gives -35.30 eV for the cell shown. As for the space group: P4/mmm. Its calculated volume is 82.7 Å³ per cell.